A plane-wave DFT calculation with PBE with a Hubbard U was carried out for VOF2 after structural relaxation.

Computed properties:
Energy in eV per atom: -5.26
Space-group type: R-3m, No. 166

The structure in extended XYZ format:
```
12
Lattice="3.298 0.000 0.000 -1.649 2.856 0.000 0.000 0.000 21.557" Properties=species:S:1:pos:R:3 pbc="T T T"
V 0.000 0.000 0.000
V 0.000 1.904 14.371
V 1.649 0.952 7.186
O 0.000 0.000 10.778
O 0.000 1.904 3.593
O 1.649 0.952 17.964
F 0.000 0.000 8.102
F 0.000 0.000 13.455
F 0.000 1.904 0.916
F 0.000 1.904 6.269
F 1.649 0.952 15.288
F 1.649 0.952 20.640
```